Record 1
A relaxed structure of ZrOF. Source: the Alexandria database, functional PBE-GGA.

Cell: 4.3935 3.4780 5.8180 Å, 90.00 117.75 90.00°
Element x y z (fractional)
F 0.1503 0.2500 0.9350
F 0.8497 0.7500 0.0650
O 0.7380 0.2500 0.4297
O 0.2620 0.7500 0.5703
Zr 0.8220 0.7500 0.6667
Zr 0.1780 0.2500 0.3333

Computed properties:
raw formation energy: -3.050 eV per atom



Record 2
A relaxed structure of Mg2ZnSi. Source: the Alexandria database, functional PBE-GGA.

Cell: 4.0051 3.9428 5.1977 Å, 68.04 90.00 90.00°
Element x y z (fractional)
Mg 0.5000 0.2666 0.3379
Mg 0.0000 0.9842 0.9109
Si 0.0000 0.6985 0.4789
Zn 0.5000 0.5507 0.7723

Computed properties:
raw formation energy: -0.065 eV per atom



Record 3
A relaxed structure of ReRu7. Source: the Alexandria database, functional PBE-GGA.

Cell: 5.4211 5.4211 5.4211 Å, 60.00 60.00 60.00°
Element x y z (fractional)
Ru 0.5000 0.5000 0.5000
Ru 0.0000 0.0000 0.5000
Ru 0.5000 0.5000 0.0000
Ru 0.5000 0.0000 0.0000
Ru 0.5000 0.0000 0.5000
Ru 0.0000 0.5000 0.5000
Ru 0.0000 0.5000 0.0000
Re 0.0000 0.0000 0.0000

Computed properties:
formation enthalpy at 0 K: 78 kJ/mol of formula units



Number 1: uncorrected energy -49.1 eV for the cell shown. Number 2: uncorrected energy -10.1 eV for the cell shown. Number 3: uncorrected energy -76.6 eV for the cell shown.